[1]
## LaOsOF2 (GGA-PBE)

Data for a relaxed structure of LaOsOF2.

Cell: 4.680 4.680 3.731 Å, 90.00 90.00 90.00°
Sites, in units of the cell vectors:
La 0.000 0.000 0.000
Os 0.500 0.500 0.500
O 0.500 0.500 0.000
F 0.000 0.500 0.500
F 0.500 0.000 0.500

Magnetic moment ... 0.61 μB per cell
Volume ... 16.3 Å³/atom
E above lowest polymorph ... 0.000 eV/atom

---

[2]
## Tl2As3 (GGA-PBE)

Data for a relaxed structure of Tl2As3.

Cell: 8.401 6.333 9.590 Å, 59.59 40.55 79.87°
Sites, in units of the cell vectors:
Tl 0.222 0.778 0.387
Tl 0.637 0.863 0.472
Tl 0.778 0.222 0.613
Tl 0.863 0.637 0.028
As 0.196 0.814 0.047
As 0.203 0.306 0.054
As 0.257 0.257 0.743
As 0.306 0.203 0.436
As 0.507 0.507 0.993
As 0.814 0.196 0.944

Magnetic moment ... 0.00 μB per cell
Energy of formation ... 0.1261 eV/atom
Volume ... 26.5 Å³/atom
E above lowest polymorph ... 0.000 eV/atom

---

[3]
## MgScRuAu (GGA-PBE)

Data for a relaxed structure of MgScRuAu.

Cell: 6.489 6.489 6.489 Å, 90.00 90.00 90.00°
Sites, in units of the cell vectors:
Mg 0.000 0.000 0.000
Mg 0.000 0.500 0.500
Mg 0.500 0.000 0.500
Mg 0.500 0.500 0.000
Sc 0.000 0.000 0.500
Sc 0.000 0.500 0.000
Sc 0.500 0.000 0.000
Sc 0.500 0.500 0.500
Ru 0.250 0.250 0.250
Ru 0.250 0.750 0.750
Ru 0.750 0.250 0.750
Ru 0.750 0.750 0.250
Au 0.250 0.250 0.750
Au 0.250 0.750 0.250
Au 0.750 0.250 0.250
Au 0.750 0.750 0.750

Magnetic moment ... 0.00 μB per cell
Energy of formation ... -0.4769 eV/atom
Volume ... 17.1 Å³/atom

---

[4]
## TaRe2As (GGA-PBE)

Data for a relaxed structure of TaRe2As.

Cell: 2.888 4.065 5.583 Å, 90.00 104.94 90.00°
Sites, in units of the cell vectors:
Ta 0.000 0.000 0.000
Re 0.355 0.500 0.715
Re 0.746 0.000 0.498
As 0.603 0.500 0.207

Magnetic moment ... 0.00 μB per cell
Energy of formation ... 0.0803 eV/atom
Volume ... 15.8 Å³/atom

---

[5]
## LiHgN2F (GGA-PBE)

Data for a relaxed structure of LiHgN2F.

Cell: 4.180 4.180 4.987 Å, 90.00 90.00 90.00°
Sites, in units of the cell vectors:
Li 0.000 0.000 0.000
Hg 0.500 0.500 0.500
N 0.000 0.500 0.500
N 0.500 0.000 0.500
F 0.500 0.500 0.000

Magnetic moment ... 2.83 μB per cell
Volume ... 17.4 Å³/atom
E above lowest polymorph ... 0.027 eV/atom

---

[6]
## MgHPd2 (GGA-PBE)

Data for a relaxed structure of MgHPd2.

Cell: 5.961 5.961 5.961 Å, 90.00 90.00 90.00°
Sites, in units of the cell vectors:
Mg 0.000 0.000 0.000
Mg 0.000 0.500 0.500
Mg 0.500 0.000 0.500
Mg 0.500 0.500 0.000
H 0.000 0.000 0.500
H 0.000 0.500 0.000
H 0.500 0.000 0.000
H 0.500 0.500 0.500
Pd 0.250 0.250 0.250
Pd 0.250 0.250 0.750
Pd 0.250 0.750 0.250
Pd 0.250 0.750 0.750
Pd 0.750 0.250 0.250
Pd 0.750 0.250 0.750
Pd 0.750 0.750 0.250
Pd 0.750 0.750 0.750

Magnetic moment ... 0.00 μB per cell
Volume ... 13.2 Å³/atom
E above lowest polymorph ... 0.442 eV/atom

---

[7]
## AcPm12Ho2 (GGA-PBE)

Data for a relaxed structure of AcPm12Ho2.

Cell: 6.805 6.805 24.995 Å, 92.22 92.22 115.21°
Sites, in units of the cell vectors:
Ac 0.248 0.248 0.492
Ac 0.752 0.752 0.508
Pm 0.062 0.536 0.704
Pm 0.069 0.593 0.830
Pm 0.121 0.121 0.074
Pm 0.150 0.621 0.055
Pm 0.216 0.216 0.349
Pm 0.235 0.733 0.424
Pm 0.267 0.765 0.576
Pm 0.280 0.280 0.635
Pm 0.348 0.348 0.921
Pm 0.379 0.850 0.945
Pm 0.407 0.931 0.170
Pm 0.464 0.938 0.296
Pm 0.536 0.062 0.704
Pm 0.593 0.069 0.830
Pm 0.621 0.150 0.055
Pm 0.652 0.652 0.079
Pm 0.720 0.720 0.365
Pm 0.733 0.235 0.424
Pm 0.765 0.267 0.576
Pm 0.784 0.784 0.651
Pm 0.850 0.379 0.945
Pm 0.879 0.879 0.926
Pm 0.931 0.407 0.170
Pm 0.938 0.464 0.296
Ho 0.076 0.076 0.775
Ho 0.443 0.443 0.223
Ho 0.557 0.557 0.777
Ho 0.924 0.924 0.225

Magnetic moment ... 0.00 μB per cell
Energy of formation ... 0.1069 eV/atom
Volume ... 34.8 Å³/atom

---

[8]
## Sm5YCd3 (GGA-PBE)

Data for a relaxed structure of Sm5YCd3.

Cell: 9.352 9.352 7.025 Å, 90.00 90.00 120.00°
Sites, in units of the cell vectors:
Sm 0.000 0.335 0.250
Sm 0.000 0.665 0.750
Sm 0.333 0.667 0.000
Sm 0.333 0.667 0.500
Sm 0.335 0.000 0.250
Sm 0.335 0.335 0.750
Sm 0.665 0.000 0.750
Sm 0.665 0.665 0.250
Sm 0.667 0.333 0.000
Sm 0.667 0.333 0.500
Y 0.000 0.000 0.000
Y 0.000 0.000 0.500
Cd 0.000 0.329 0.750
Cd 0.000 0.671 0.250
Cd 0.329 0.000 0.750
Cd 0.329 0.329 0.250
Cd 0.671 0.000 0.250
Cd 0.671 0.671 0.750

Magnetic moment ... 0.00 μB per cell
Energy of formation ... -0.1829 eV/atom
Volume ... 29.6 Å³/atom

---

[9]
## MgGaI4 (GGA-PBE)

Data for a relaxed structure of MgGaI4.

Cell: 16.765 4.156 7.407 Å, 90.00 115.83 90.00°
Sites, in units of the cell vectors:
Mg 0.000 0.000 0.000
Mg 0.500 0.500 0.000
Ga 0.000 0.500 0.500
Ga 0.500 0.000 0.500
I 0.112 0.500 0.271
I 0.114 0.000 0.788
I 0.386 0.500 0.212
I 0.388 0.000 0.729
I 0.612 0.000 0.271
I 0.614 0.500 0.788
I 0.886 0.000 0.212
I 0.888 0.500 0.729

DFT total energy ... -2.471 eV/atom
Magnetic moment ... 0.00 μB per cell
Volume ... 38.7 Å³/atom

---

[10]
## KBa2ScV (GGA-PBE)

Data for a relaxed structure of KBa2ScV.

Cell: 6.170 6.170 4.892 Å, 90.00 90.00 90.00°
Sites, in units of the cell vectors:
K 0.000 0.000 0.000
Ba 0.000 0.500 0.000
Ba 0.500 0.000 0.000
Sc 0.500 0.500 0.500
V 0.000 0.000 0.500

Magnetic moment ... 0.00 μB per cell
Energy of formation ... 1.5763 eV/atom
Volume ... 37.2 Å³/atom

---

[11]
## AcZn12Ag6 (GGA-PBE)

Data for a relaxed structure of AcZn12Ag6.

Cell: 7.319 7.319 7.319 Å, 103.85 103.85 103.85°
Sites, in units of the cell vectors:
Ac 0.000 0.000 0.000
Zn 0.108 0.500 0.892
Zn 0.108 0.892 0.500
Zn 0.127 0.390 0.390
Zn 0.390 0.127 0.390
Zn 0.390 0.390 0.127
Zn 0.500 0.108 0.892
Zn 0.500 0.892 0.108
Zn 0.610 0.610 0.873
Zn 0.610 0.873 0.610
Zn 0.873 0.610 0.610
Zn 0.892 0.108 0.500
Zn 0.892 0.500 0.108
Ag 0.285 0.285 0.705
Ag 0.285 0.705 0.285
Ag 0.295 0.715 0.715
Ag 0.705 0.285 0.285
Ag 0.715 0.295 0.715
Ag 0.715 0.715 0.295

Magnetic moment ... 0.00 μB per cell
Energy of formation ... -0.0420 eV/atom
Volume ... 18.5 Å³/atom

---

[12]
## SrLa2Tl (GGA-PBE)

Data for a relaxed structure of SrLa2Tl.

Cell: 4.207 5.751 12.113 Å, 90.00 90.00 90.00°
Sites, in units of the cell vectors:
Sr 0.000 0.000 0.000
Sr 0.500 0.500 0.500
La 0.000 0.000 0.437
La 0.000 0.500 0.216
La 0.500 0.000 0.716
La 0.500 0.500 0.937
Tl 0.000 0.500 0.721
Tl 0.500 0.000 0.221

Magnetic moment ... 0.00 μB per cell
Energy of formation ... -0.1016 eV/atom
Volume ... 36.6 Å³/atom
E above lowest polymorph ... 0.076 eV/atom

---

Look up the volume of the tenth one.
37.2 Å³/atom